No. 1
# Pr4Ho2Sn3O2

A relaxed Pr4Ho2Sn3O2 crystal (PBE-GGA, Alexandria via LeMat-Bulk).

Cell lengths 13.206, 13.206, 13.206 Å; angles 158.89, 158.89, 30.03 degrees
Positions (direct):
Pr 0.084 0.584 0.500
Pr 0.416 0.916 0.500
Pr 0.584 0.084 0.500
Pr 0.916 0.416 0.500
Ho 0.195 0.195 0.000
Ho 0.805 0.805 0.000
Sn 0.319 0.319 0.000
Sn 0.500 0.500 0.000
Sn 0.681 0.681 0.000
O 0.108 0.108 0.000
O 0.892 0.892 0.000

Crystal system: tetragonal
Space group: I4/mmm
Calculated volume (Å³ per cell): 298.6
VASP energy (eV per atom): -5.996
E_form (uncorrected) (eV/atom): -1.433

No. 2
# AlMoSe2N

A relaxed AlMoSe2N crystal (PBE-GGA, Alexandria via LeMat-Bulk).

Cell lengths 5.097, 5.097, 3.789 Å; angles 90.00, 90.00, 90.00 degrees
Positions (direct):
Al 0.000 0.000 0.000
Mo 0.500 0.500 0.500
Se 0.000 0.500 0.500
Se 0.500 0.000 0.500
N 0.500 0.500 0.000

Relative energy among the computed polymorphs (eV per atom): 0.000
Crystal system: tetragonal
Space group: P4/mmm
Calculated volume (Å³ per cell): 98.4
VASP energy (eV per atom): -5.828
E_form (uncorrected) (eV/atom): 0.145

No. 3
# Sb2PbS2

A relaxed Sb2PbS2 crystal (PBE-GGA, Alexandria via LeMat-Bulk).

Cell lengths 8.587, 8.587, 3.649 Å; angles 90.00, 90.00, 90.00 degrees
Positions (direct):
Sb 0.210 0.290 0.000
Sb 0.290 0.790 0.000
Sb 0.710 0.210 0.000
Sb 0.790 0.710 0.000
Pb 0.000 0.000 0.500
Pb 0.500 0.500 0.500
S 0.142 0.642 0.500
S 0.358 0.142 0.500
S 0.642 0.858 0.500
S 0.858 0.358 0.500

Relative energy among the computed polymorphs (eV per atom): 0.048
Crystal system: tetragonal
Space group: P4/mbm
Calculated volume (Å³ per cell): 269.1
VASP energy (eV per atom): -4.015
E_form (uncorrected) (eV/atom): 0.027

No. 4
# YMo2Rh

A relaxed YMo2Rh crystal (PBE-GGA, Alexandria via LeMat-Bulk).

Cell lengths 2.837, 4.750, 5.347 Å; angles 90.00, 90.00, 90.00 degrees
Positions (direct):
Y 0.000 0.000 0.000
Mo 0.500 0.500 0.258
Mo 0.500 0.500 0.742
Rh 0.000 0.000 0.500

Relative energy among the computed polymorphs (eV per atom): 0.392
Crystal system: orthorhombic
Energy of formation (eV per atom): 0.358
Space group: Pmmm
Calculated volume (Å³ per cell): 72.1
VASP energy (eV per atom): -8.511

No. 5
# AlCrSe2

A relaxed AlCrSe2 crystal (PBE-GGA, Alexandria via LeMat-Bulk).

Cell lengths 3.812, 3.812, 5.402 Å; angles 90.00, 90.00, 90.00 degrees
Positions (direct):
Al 0.000 0.000 0.000
Cr 0.500 0.500 0.500
Se 0.000 0.000 0.500
Se 0.500 0.500 0.000

Relative energy among the computed polymorphs (eV per atom): 0.000
Crystal system: tetragonal
Space group: P4/mmm
Calculated volume (Å³ per cell): 78.5
VASP energy (eV per atom): -5.468
E_form (uncorrected) (eV/atom): -0.384

No. 6
# Cs2CdC2O6

A relaxed Cs2CdC2O6 crystal (PBE-GGA, Alexandria via LeMat-Bulk).

Cell lengths 5.586, 5.586, 7.804 Å; angles 110.44, 110.44, 59.24 degrees
Positions (direct):
Cs 0.212 0.212 0.149
Cs 0.788 0.788 0.851
Cd 0.000 0.000 0.500
C 0.403 0.403 0.686
C 0.597 0.597 0.314
O 0.267 0.267 0.680
O 0.270 0.679 0.697
O 0.321 0.730 0.303
O 0.679 0.270 0.697
O 0.730 0.321 0.303
O 0.733 0.733 0.320

Crystal system: monoclinic
Space group: C2/m
Calculated volume (Å³ per cell): 191.6
VASP energy (eV per atom): -6.138
E_form (uncorrected) (eV/atom): -1.519

No. 7
# TlReSe2

A relaxed TlReSe2 crystal (PBE-GGA, Alexandria via LeMat-Bulk).

Cell lengths 5.215, 5.215, 5.215 Å; angles 131.01, 131.01, 71.80 degrees
Positions (direct):
Tl 0.000 0.000 0.000
Re 0.250 0.750 0.500
Se 0.500 0.500 0.000
Se 0.750 0.250 0.500

Relative energy among the computed polymorphs (eV per atom): 1.051
Crystal system: tetragonal
Space group: I-4m2
Calculated volume (Å³ per cell): 79.0
VASP energy (eV per atom): -4.392
E_form (uncorrected) (eV/atom): 1.054

No. 8
# Ga2PdC

A relaxed Ga2PdC crystal (PBE-GGA, Alexandria via LeMat-Bulk).

Cell lengths 5.822, 5.822, 5.822 Å; angles 123.39, 123.39, 84.22 degrees
Positions (direct):
Ga 0.042 0.625 0.917
Ga 0.375 0.292 0.417
Ga 0.708 0.125 0.083
Ga 0.875 0.958 0.583
Pd 0.250 0.750 0.500
Pd 0.500 0.500 0.000
C 0.000 0.000 0.000
C 0.750 0.250 0.500

Crystal system: tetragonal
Energy of formation (eV per atom): 0.347
Space group: I-42d
Calculated volume (Å³ per cell): 131.7
VASP energy (eV per atom): -4.770

No. 9
# KBe2Cd

A relaxed KBe2Cd crystal (PBE-GGA, Alexandria via LeMat-Bulk).

Cell lengths 9.476, 9.476, 9.476 Å; angles 151.56, 151.56, 40.66 degrees
Positions (direct):
K 0.375 0.625 0.750
K 0.625 0.375 0.250
Be 0.000 0.000 0.000
Be 0.000 0.000 0.500
Be 0.000 0.500 0.000
Be 0.500 0.000 0.500
Cd 0.125 0.875 0.250
Cd 0.875 0.125 0.750

Crystal system: tetragonal
Energy of formation (eV per atom): 0.642
Space group: I4_1/amd
Calculated volume (Å³ per cell): 192.6
VASP energy (eV per atom): -1.725

No. 10
# ZrNi2Ru

A relaxed ZrNi2Ru crystal (PBE-GGA, Alexandria via LeMat-Bulk).

Cell lengths 3.212, 3.212, 5.591 Å; angles 90.00, 90.00, 90.00 degrees
Positions (direct):
Zr 0.000 0.000 0.000
Ni 0.000 0.000 0.487
Ni 0.500 0.500 0.265
Ru 0.500 0.500 0.710

Crystal system: tetragonal
Energy of formation (eV per atom): -0.173
Space group: P4mm
Calculated volume (Å³ per cell): 57.7
VASP energy (eV per atom): -7.520

No. 11
# Tb6Pr4Ho

A relaxed Tb6Pr4Ho crystal (PBE-GGA, Alexandria via LeMat-Bulk).

Cell lengths 8.602, 8.602, 8.602 Å; angles 126.92, 126.92, 78.39 degrees
Positions (direct):
Tb 0.000 0.500 0.500
Tb 0.051 0.582 0.000
Tb 0.418 0.418 0.469
Tb 0.500 0.000 0.500
Tb 0.582 0.051 0.000
Tb 0.949 0.949 0.531
Pr 0.245 0.245 0.647
Pr 0.402 0.755 0.000
Pr 0.598 0.598 0.353
Pr 0.755 0.402 0.000
Ho 0.000 0.000 0.000

Relative energy among the computed polymorphs (eV per atom): 0.144
Crystal system: tetragonal
Energy of formation (eV per atom): 0.433
Space group: I-42m
Calculated volume (Å³ per cell): 394.0
VASP energy (eV per atom): -4.246

No. 12
# CaNd2Hg

A relaxed CaNd2Hg crystal (PBE-GGA, Alexandria via LeMat-Bulk).

Cell lengths 5.598, 5.598, 5.598 Å; angles 60.00, 60.00, 60.00 degrees
Positions (direct):
Ca 0.000 0.000 0.000
Nd 0.250 0.250 0.250
Nd 0.750 0.750 0.750
Hg 0.500 0.500 0.500

Relative energy among the computed polymorphs (eV per atom): 0.113
Crystal system: cubic
Energy of formation (eV per atom): -0.093
Space group: Fm-3m
Calculated volume (Å³ per cell): 124.0
VASP energy (eV per atom): -3.053